The following is a DFT calculation (GGA-PBE) of a relaxed Y3PaP4 crystal.

Results
- energy above the most stable polymorph in this dataset (meV per atom) = 0
- volume (Å³/f.u.) = 180
- magnetic moment (μB per atom) = 0.0000

Cell: 5.646 5.646 11.297 Å, 90.00 90.00 90.00°
Space group I4/mmm (No. 139)
Asymmetric unit:
Y  0.000  0.000  0.000 [2 per cell]
Y  0.000  0.500  0.250 [4 per cell]
Pa  0.000  0.000  0.500 [2 per cell]
P  0.000  0.000  0.256 [4 per cell]
P  0.000  0.500  0.000 [4 per cell]

The following is a DFT calculation (GGA-PBE) of a relaxed Y3PaP4 crystal.

Results
- energy above the most stable polymorph in this dataset (meV per atom) = 4
- volume (Å³/f.u.) = 180
- magnetic moment (μB per atom) = 0.0000

Cell: 7.983 11.292 4.003 Å, 90.00 90.00 90.00°
Space group Cmmm (No. 65)
Asymmetric unit:
Y  0.000  0.000  0.000 [2 per cell]
Y  0.250  0.250  0.500 [4 per cell]
Pa  0.000  0.500  0.000 [2 per cell]
P  0.000  0.254  0.000 [4 per cell]
P  0.246  0.500  0.500 [4 per cell]

The following is a DFT calculation (GGA-PBE) of a relaxed YPaP2 crystal.

Results
- energy above the most stable polymorph in this dataset (meV per atom) = 0
- volume (Å³/f.u.) = 89
- magnetic moment (μB per atom) = 0.0000

Cell: 3.9861 3.9861 19.4984 Å, 90.00 90.00 120.00°
Space group R-3m (No. 166, hexagonal axes)
Asymmetric unit:
Y  0.0000  0.0000  0.0000 [3 per cell]
Pa  0.0000  0.0000  0.5000 [3 per cell]
P  0.0000  0.0000  0.2484 [6 per cell]

The following is a DFT calculation (GGA-PBE) of a relaxed YPaP2 crystal.

Results
- energy above the most stable polymorph in this dataset (meV per atom) = 159
- volume (Å³/f.u.) = 91
- magnetic moment (μB per atom) = 0.0000

Cell: 3.9375 3.9375 20.4081 Å, 90.00 90.00 120.00°
Space group R3m (No. 160, hexagonal axes)
Asymmetric unit:
Y  0.0000  0.0000  0.0000 [3 per cell]
Pa  0.0000  0.0000  0.8227 [3 per cell]
P  0.0000  0.0000  0.2407 [3 per cell]
P  0.0000  0.0000  0.4128 [3 per cell]

The following is a DFT calculation (GGA-PBE) of a relaxed Y4PaP5 crystal.

Results
- raw total energy (eV per atom) = -7.818
- volume (Å³/f.u.) = 226
- magnetic moment (μB per atom) = 0.0000

Cell: 8.940 8.940 5.657 Å, 90.00 90.00 90.00°
Space group I4/m (No. 87)
Asymmetric unit:
Y  0.099  0.698  0.000 [8 per cell]
Pa  0.000  0.000  0.500 [2 per cell]
P  0.000  0.000  0.000 [2 per cell]
P  0.098  0.706  0.500 [8 per cell]

The following is a DFT calculation (GGA-PBE) of a relaxed Y2PaP3 crystal.

Results
- raw total energy (eV per atom) = -7.968
- volume (Å³/f.u.) = 135
- magnetic moment (μB per atom) = 0.0000

Cell: 4.000 5.633 11.969 Å, 90.00 90.00 90.00°
Space group Immm (No. 71)
Asymmetric unit:
Y  0.000  0.000  0.168 [4 per cell]
Pa  0.000  0.000  0.500 [2 per cell]
P  0.000  0.500  0.162 [4 per cell]
P  0.000  0.500  0.500 [2 per cell]

The following is a DFT calculation (GGA-PBE) of a relaxed YZr2PaP4 crystal.

Results
- raw total energy (eV per atom) = -8.267
- volume (Å³/f.u.) = 163
- magnetic moment (μB per atom) = 0.0000

Cell: 6.671 3.870 6.687 Å, 90.00 109.51 90.00°
Space group P2/m (No. 10)
Asymmetric unit:
Y  0.000  0.000  0.000 [1 per cell]
Zr  0.500  0.000  0.500 [1 per cell]
Zr  0.500  0.500  0.000 [1 per cell]
Pa  0.000  0.500  0.500 [1 per cell]
P  0.262  0.500  0.257 [2 per cell]
P  0.263  0.000  0.753 [2 per cell]

The following is a DFT calculation (GGA-PBE) of a relaxed ZrPaP crystal.

Results
- energy above the most stable polymorph in this dataset (meV per atom) = 0
- volume (Å³/f.u.) = 64
- magnetic moment (μB per atom) = 0.0000

Cell: 9.007 13.473 6.367 Å, 90.00 90.00 90.00°
Space group Ima2 (No. 46)
Asymmetric unit:
Zr  0.250  0.052  0.000 [4 per cell]
Zr  0.250  0.209  0.581 [4 per cell]
Zr  0.250  0.672  0.313 [4 per cell]
Pa  0.000  0.000  0.687 [4 per cell]
Pa  0.054  0.620  0.770 [8 per cell]
P  0.046  0.186  0.878 [8 per cell]
P  0.250  0.035  0.409 [4 per cell]